VASP calculation (PBE) on TaMn2Pt after structural relaxation.

a = 2.842 Å, b = 2.842 Å, c = 7.141 Å
α = 90.00°, β = 90.00°, γ = 90.00°
Space group P4mm (No. 99)
One atom of each set of equivalent atoms:
Ta 0.000 0.000 0.000 x1
Mn 0.000 0.000 0.458 x1
Mn 0.500 0.500 0.264 x1
Pt 0.500 0.500 0.714 x1

DFT total energy = -9.28 eV per atom
Energy relative to the elements = -85 kJ/mol of formula units
V = 57.7 Å³ per cell
Energy relative to the lowest polymorph listed for this composition = 75 meV per atom